# 1
The following is a DFT calculation (PBE) of a relaxed structure of LaCoN3.

Cell lengths 10.6649, 4.0025, 7.4702 Å; angles 90.00, 103.08, 90.00 degrees
With the nearest neighbours (Å) after each atom.
Space group C2/m (No. 12)
Unique sites:
La: 0.1637 0.0000 0.3008  3 N 2.41-2.44
Co: 0.0413 0.5000 0.6547  2 N 1.68-1.85
N: 0.1060 0.5000 0.8814  1 N 1.18
N: 0.1346 0.5000 0.4744  2 Co 1.85-1.91
N: 0.1490 0.5000 0.0419  1 N 1.18

Values from the calculation:
VASP energy: -159.385 eV per cell
M_tot: 0.00 μB per formula unit

=====

# 2
The following is a DFT calculation (PBE) of a relaxed structure of La2NdCo2N6.

Cell lengths 3.7781, 3.7781, 19.8679 Å; angles 90.00, 90.00, 90.00 degrees
With the nearest neighbours (Å) after each atom.
Space group I4/mmm (No. 139)
Unique sites:
La: 0.0000 0.0000 0.1806  9 N 2.46-2.69
Nd: 0.0000 0.0000 0.0000  8 N 2.53
Co: 0.0000 0.0000 0.3988  5 N 1.87-1.92
N: 0.0000 0.0000 0.3045  1 Co 1.87
N: 0.0000 0.5000 0.0847  2 Co 1.92

Values from the calculation:
VASP energy: -170.237 eV per cell
M_tot: 2.68 μB per formula unit

=====

# 3
The following is a DFT calculation (PBE) of a relaxed structure of LaNd2Co2N6.

Cell lengths 3.7597, 3.7597, 19.8956 Å; angles 90.00, 90.00, 90.00 degrees
With the nearest neighbours (Å) after each atom.
Space group I4/mmm (No. 139)
Unique sites:
La: 0.0000 0.0000 0.0000  8 N 2.56
Nd: 0.0000 0.0000 0.1811  9 N 2.41-2.68
Co: 0.0000 0.0000 0.3951  5 N 1.85-1.91
N: 0.0000 0.0000 0.3022  1 Co 1.85
N: 0.0000 0.5000 0.0872  2 Co 1.91

Values from the calculation:
VASP energy: -169.346 eV per cell
M_tot: 2.73 μB per formula unit

=====

# 4
The following is a DFT calculation (PBE) of a relaxed structure of NaLaNbCo.

Cell lengths 6.9519, 6.9519, 6.9519 Å; angles 90.00, 90.00, 90.00 degrees
With the nearest neighbours (Å) after each atom.
Space group F-43m (No. 216)
Unique sites:
Na: 0.0000 0.0000 0.0000  4 Co 3.01, 4 Nb 3.01
La: 0.0000 0.0000 0.5000  4 Nb 3.01, 4 Co 3.01
Nb: 0.2500 0.2500 0.7500  4 La 3.01, 4 Na 3.01
Co: 0.2500 0.2500 0.2500  4 La 3.01, 4 Na 3.01

Values from the calculation:
Polymorph energy (0 for the lowest one): 243 meV/atom
VASP energy: -78.506 eV per cell
M_tot: 1.58 μB per formula unit